Density functional theory data (meta-GGA SCAN) for Tl5Sb at its PBEsol-relaxed geometry.

The calculation puts the uncorrected formation energy at 19 meV/atom. As for the distance to the lowest polymorph of the same formula: 0.028 eV per atom.

Cell: 6.0003 6.0003 5.5072 Å, 90.00 90.00 120.00°
Space group P-62m (No. 189)
Asymmetric unit:
Tl: 0.0000 0.6739 0.0000 (multiplicity 3)
Tl: 0.3333 0.6667 0.5000 (multiplicity 2)
Sb: 0.0000 0.0000 0.5000 (multiplicity 1)

---

Density functional theory data (meta-GGA SCAN) for Be2Co at its PBEsol-relaxed geometry.

As for the formation energy: 1.3 eV/f.u.

Cell: 4.955 4.955 4.955 Å, 90.00 90.00 90.00°
Space group Fm-3m (No. 225)
Asymmetric unit:
Be: 0.250 0.250 0.250 (multiplicity 8)
Co: 0.000 0.000 0.000 (multiplicity 4)

---

Density functional theory data (meta-GGA SCAN) for TbSnIr at its PBEsol-relaxed geometry.

As for the formation energy: -3.0 eV/f.u.

Cell: 7.4490 7.4490 3.8563 Å, 90.00 90.00 120.00°
Space group P-62m (No. 189)
Asymmetric unit:
Tb: 0.0000 0.5934 0.0000 (multiplicity 3)
Sn: 0.0000 0.2607 0.5000 (multiplicity 3)
Ir: 0.0000 0.0000 0.0000 (multiplicity 1)
Ir: 0.3333 0.6667 0.5000 (multiplicity 2)

---

Density functional theory data (meta-GGA SCAN) for Na2ReAs at its PBEsol-relaxed geometry.

As for the formation energy: 3.1 eV/f.u.

Cell: 9.961 9.961 4.678 Å, 90.00 90.00 90.00°
Space group I-42d (No. 122)
Asymmetric unit:
Na: 0.123 0.750 0.125 (multiplicity 8)
Re: 0.000 0.000 0.500 (multiplicity 4)
As: 0.000 0.000 0.000 (multiplicity 4)

---

Density functional theory data (meta-GGA SCAN) for NiBIr2Rh at its PBEsol-relaxed geometry.

As for the formation energy: 11.5 eV/f.u.

Cell: 4.364 4.364 4.337 Å, 90.00 90.00 90.00°
Space group P4/mmm (No. 123)
Asymmetric unit:
Ni: 0.000 0.000 0.000 (multiplicity 1)
B: 0.500 0.500 0.500 (multiplicity 1)
Ir: 0.000 0.500 0.000 (multiplicity 2)
Rh: 0.000 0.000 0.500 (multiplicity 1)

---

Density functional theory data (meta-GGA SCAN) for PbAu2 at its PBEsol-relaxed geometry.

As for the formation energy: -0.2 eV/f.u.

Cell: 7.904 5.594 11.264 Å, 90.00 90.00 90.00°
Space group Pbcn (No. 60)
Asymmetric unit:
Pb: 0.126 0.011 0.125 (multiplicity 8)
Au: 0.000 0.477 0.250 (multiplicity 4)
Au: 0.000 0.500 0.000 (multiplicity 4)
Au: 0.225 0.214 0.874 (multiplicity 8)

---

Density functional theory data (meta-GGA SCAN) for Fe2CoIr at its PBEsol-relaxed geometry.

As for the formation energy: 0.1 eV/f.u.

Cell: 2.558 3.539 5.023 Å, 90.00 90.00 90.00°
Space group Pmm2 (No. 25)
Asymmetric unit:
Fe: 0.000 0.000 0.000 (multiplicity 1)
Fe: 0.500 0.500 0.249 (multiplicity 1)
Co: 0.500 0.500 0.764 (multiplicity 1)
Ir: 0.000 0.000 0.501 (multiplicity 1)

---

Density functional theory data (meta-GGA SCAN) for Tl2HgOs at its PBEsol-relaxed geometry.

As for the formation energy: 3.1 eV/f.u. As for the distance to the lowest polymorph of the same formula: 0.001 eV per atom.

Cell: 3.106 5.086 11.134 Å, 90.00 90.00 90.00°
Space group Cmmm (No. 65)
Asymmetric unit:
Tl: 0.000 0.000 0.217 (multiplicity 4)
Hg: 0.000 0.500 0.500 (multiplicity 2)
Os: 0.000 0.500 0.000 (multiplicity 2)

---

Density functional theory data (meta-GGA SCAN) for LaYSc2 at its PBEsol-relaxed geometry.

As for the formation energy: 0.3 eV/f.u. As for the distance to the lowest polymorph of the same formula: 0.012 eV per atom.

Cell: 3.793 3.793 7.873 Å, 90.00 90.00 90.00°
Space group P4mm (No. 99)
Asymmetric unit:
La: 0.000 0.000 0.000 (multiplicity 1)
Y: 0.500 0.500 0.700 (multiplicity 1)
Sc: 0.000 0.000 0.456 (multiplicity 1)
Sc: 0.500 0.500 0.262 (multiplicity 1)

---

Density functional theory data (meta-GGA SCAN) for Li2CdSi at its PBEsol-relaxed geometry.

The calculation puts the uncorrected formation energy at -151 meV/atom.

Cell: 2.770 2.770 8.261 Å, 90.00 90.00 90.00°
Space group P4/mmm (No. 123)
Asymmetric unit:
Li: 0.000 0.000 0.222 (multiplicity 2)
Cd: 0.500 0.500 0.500 (multiplicity 1)
Si: 0.500 0.500 0.000 (multiplicity 1)

---

Density functional theory data (meta-GGA SCAN) for LaNb3N at its PBEsol-relaxed geometry.

The calculation puts the uncorrected formation energy at -89 meV/atom.

Cell: 4.430 4.430 4.430 Å, 90.00 90.00 90.00°
Space group Pm-3m (No. 221)
Asymmetric unit:
La: 0.000 0.000 0.000 (multiplicity 1)
Nb: 0.000 0.500 0.500 (multiplicity 3)
N: 0.500 0.500 0.500 (multiplicity 1)

---

Density functional theory data (meta-GGA SCAN) for IrPd2PbW at its PBEsol-relaxed geometry.

As for the formation energy: 12.0 eV/f.u.

Cell: 4.744 4.744 5.063 Å, 90.00 90.00 90.00°
Space group P4/mmm (No. 123)
Asymmetric unit:
Ir: 0.000 0.000 0.000 (multiplicity 1)
Pd: 0.000 0.500 0.500 (multiplicity 2)
Pb: 0.500 0.500 0.500 (multiplicity 1)
W: 0.500 0.500 0.000 (multiplicity 1)

---

Density functional theory data (meta-GGA SCAN) for ZnAg2Sb2 at its PBEsol-relaxed geometry.

The calculation puts the uncorrected formation energy at 270 meV/atom.

Cell: 3.744 3.744 15.521 Å, 90.00 90.00 90.00°
Space group I4/mmm (No. 139)
Asymmetric unit:
Zn: 0.000 0.000 0.000 (multiplicity 2)
Ag: 0.000 0.500 0.250 (multiplicity 4)
Sb: 0.000 0.000 0.396 (multiplicity 4)

---

Density functional theory data (meta-GGA SCAN) for YMg2Mo at its PBEsol-relaxed geometry.

As for the formation energy: 1.8 eV/f.u. As for the distance to the lowest polymorph of the same formula: 0.005 eV per atom.

Cell: 2.9950 2.9950 31.7919 Å, 90.00 90.00 120.00°
Space group R-3m (No. 166, hexagonal axes)
Asymmetric unit:
Y: 0.0000 0.0000 0.0000 (multiplicity 3)
Mg: 0.0000 0.0000 0.2410 (multiplicity 6)
Mo: 0.0000 0.0000 0.5000 (multiplicity 3)

---

Density functional theory data (meta-GGA SCAN) for Ce4MgRu at its PBEsol-relaxed geometry.

As for the formation energy: -0.8 eV/f.u.

Cell: 13.464 13.464 13.464 Å, 90.00 90.00 90.00°
Space group F-43m (No. 216)
Asymmetric unit:
Ce: 0.000 0.000 0.190 (multiplicity 24)
Ce: 0.057 0.250 0.750 (multiplicity 24)
Ce: 0.154 0.154 0.346 (multiplicity 16)
Mg: 0.080 0.080 0.580 (multiplicity 16)
Ru: 0.136 0.136 0.136 (multiplicity 16)

---

Density functional theory data (meta-GGA SCAN) for YMg3 at its PBEsol-relaxed geometry.

As for the formation energy: -0.3 eV/f.u.

Cell: 4.627 4.627 4.627 Å, 90.00 90.00 90.00°
Space group Pm-3m (No. 221)
Asymmetric unit:
Y: 0.000 0.000 0.000 (multiplicity 1)
Mg: 0.000 0.500 0.500 (multiplicity 3)

---

Density functional theory data (meta-GGA SCAN) for Ca2LaBe2 at its PBEsol-relaxed geometry.

As for the formation energy: 3.0 eV/f.u.

Cell: 5.145 5.145 10.002 Å, 90.00 90.00 90.00°
Space group I4/mmm (No. 139)
Asymmetric unit:
Ca: 0.000 0.000 0.156 (multiplicity 4)
La: 0.000 0.000 0.500 (multiplicity 2)
Be: 0.000 0.500 0.250 (multiplicity 4)

---

Density functional theory data (meta-GGA SCAN) for Ag2PW at its PBEsol-relaxed geometry.

As for the formation energy: 2.8 eV/f.u.

Cell: 3.660 3.660 4.603 Å, 90.00 90.00 90.00°
Space group P4/mmm (No. 123)
Asymmetric unit:
Ag: 0.000 0.500 0.000 (multiplicity 2)
P: 0.000 0.000 0.500 (multiplicity 1)
W: 0.500 0.500 0.500 (multiplicity 1)

---

Density functional theory data (meta-GGA SCAN) for Li6ErB3O9 at its PBEsol-relaxed geometry.

The calculation puts the uncorrected formation energy at -2714 meV/atom.

Cell: 7.121 16.261 6.580 Å, 90.00 105.12 90.00°
Space group P2_1/c (No. 14)
Asymmetric unit:
Li: 0.044 0.030 0.170 (multiplicity 4)
Li: 0.062 0.705 0.044 (multiplicity 4)
Li: 0.194 0.535 0.056 (multiplicity 4)
Li: 0.217 0.206 0.866 (multiplicity 4)
Li: 0.366 0.054 0.913 (multiplicity 4)
Li: 0.428 0.005 0.323 (multiplicity 4)
Er: 0.419 0.690 0.847 (multiplicity 4)
B: 0.060 0.616 0.690 (multiplicity 4)
B: 0.216 0.122 0.503 (multiplicity 4)
B: 0.413 0.636 0.338 (multiplicity 4)
O: 0.036 0.089 0.416 (multiplicity 4)
O: 0.080 0.700 0.731 (multiplicity 4)
O: 0.109 0.079 0.924 (multiplicity 4)
O: 0.225 0.569 0.772 (multiplicity 4)
O: 0.243 0.204 0.561 (multiplicity 4)
O: 0.353 0.686 0.163 (multiplicity 4)
O: 0.384 0.075 0.544 (multiplicity 4)
O: 0.408 0.553 0.325 (multiplicity 4)
O: 0.490 0.675 0.530 (multiplicity 4)

---

Density functional theory data (meta-GGA SCAN) for AgBr3F at its PBEsol-relaxed geometry.

The calculation puts the uncorrected formation energy at 282 meV/atom.

Cell: 4.828 4.828 4.828 Å, 90.00 90.00 90.00°
Space group Pm-3m (No. 221)
Asymmetric unit:
Ag: 0.000 0.000 0.000 (multiplicity 1)
Br: 0.000 0.500 0.500 (multiplicity 3)
F: 0.500 0.500 0.500 (multiplicity 1)